# PBE-GGA La6CeHo5, optimized geometry
# ΔE_f = 0.04 eV/atom
# Electronic total energy = -4.82 eV/atom
# M_tot = 1.026 μB/f.u.
data_La6CeHo5
_cell_length_a 5.209
_cell_length_b 10.076
_cell_length_c 15.520
_cell_angle_alpha 90.00
_cell_angle_beta 90.00
_cell_angle_gamma 90.00
_symmetry_space_group_name_H-M 'I m m m'
_symmetry_Int_Tables_number 71
_symmetry_space_group_name_Hall '-I 2 2'
loop_
_atom_site_label
_atom_site_fract_x
_atom_site_fract_y
_atom_site_fract_z
_atom_site_occupancy
La1 0.000 0.249 0.000 1
La2 0.000 0.250 0.336 1
Ce1 0.000 0.500 0.500 1
Ho1 0.000 0.000 0.165 1
Ho2 0.000 0.000 0.500 1
Ho3 0.000 0.500 0.168 1